[1]
DFT (PBE-GGA) results for an optimized crystal structure of Np2CrCo3B12.

mass density	7.6	g/cm³
calculated formation energy	0.117	eV/atom
DOS at the Fermi energy	0.97	states/eV per atom
energy	-7.491	eV/atom

a = 8.0815 Å, b = 8.0815 Å, c = 8.0815 Å
α = 38.14°, β = 38.14°, γ = 38.14°
Site moments in Bohr magnetons follow the coordinates.
Element x y z (fractional)
Np 0.6447 0.6447 0.6447  3.09
Np 0.3553 0.3553 0.3553  3.09
Cr 0.0000 0.0000 0.0000  -0.76
Co 0.5000 0.0000 0.0000  0.28
Co 0.0000 0.5000 0.0000  0.28
Co 0.0000 0.0000 0.5000  0.28
B 0.3464 0.3464 0.0178  -0.03
B 0.9531 0.9531 0.3191  -0.01
B 0.3191 0.9531 0.9531  -0.01
B 0.0178 0.3464 0.3464  -0.03
B 0.9531 0.3191 0.9531  -0.01
B 0.3464 0.0178 0.3464  -0.03
B 0.6536 0.6536 0.9822  -0.03
B 0.0469 0.0469 0.6809  -0.01
B 0.6809 0.0469 0.0469  -0.01
B 0.9822 0.6536 0.6536  -0.03
B 0.0469 0.6809 0.0469  -0.01
B 0.6536 0.9822 0.6536  -0.03


[2]
DFT (PBE-GGA) results for an optimized crystal structure of Pa2CrCo3B12.

mass density	7.4	g/cm³
calculated formation energy	0.022	eV/atom
DOS at the Fermi energy	0.81	states/eV per atom
energy	-7.204	eV/atom

a = 8.0362 Å, b = 8.0362 Å, c = 8.0362 Å
α = 38.97°, β = 38.97°, γ = 38.97°
Element x y z (fractional)
Pa 0.6428 0.6428 0.6428
Pa 0.3572 0.3572 0.3572
Cr 0.0000 0.0000 0.0000
Co 0.5000 0.0000 0.0000
Co 0.0000 0.5000 0.0000
Co 0.0000 0.0000 0.5000
B 0.3446 0.3446 0.0215
B 0.9501 0.9501 0.3223
B 0.3223 0.9501 0.9501
B 0.0215 0.3446 0.3446
B 0.9501 0.3223 0.9501
B 0.3446 0.0215 0.3446
B 0.6554 0.6554 0.9785
B 0.0499 0.0499 0.6777
B 0.6777 0.0499 0.0499
B 0.9785 0.6554 0.6554
B 0.0499 0.6777 0.0499
B 0.6554 0.9785 0.6554


[3]
DFT (PBE-GGA) results for an optimized crystal structure of CrCo2BPb.

mass density	9.4	g/cm³
calculated formation energy	0.850	eV/atom
DOS at the Fermi energy	1.50	states/eV per atom
energy	-5.995	eV/atom

a = 3.8063 Å, b = 4.7221 Å, c = 3.8063 Å
α = 90.00°, β = 90.00°, γ = 90.00°
Site moments in Bohr magnetons follow the coordinates.
Element x y z (fractional)
Pb 0.0000 0.5000 0.0000  0.01
Cr 0.5000 0.5000 0.5000  -0.26
B 0.0000 0.0000 0.0000  -0.02
Co 0.0000 0.0000 0.5000  0.24
Co 0.5000 0.0000 0.0000  0.28


> mass density of number 1 (Np2CrCo3B12)?

7.6 g/cm³